First-principles (PBE with a Hubbard U) data for an optimized crystal structure of NpNiHg2O6, as listed in the Alexandria database.

Total magnetic moment in μB per formula unit: 3.00
Energy in eV per cell: -119.5
Crystal system: trigonal

Cell lengths 5.6222, 5.7979, 8.0782 Å; angles 92.43, 90.00, 90.00 degrees
Closest atoms and distances in Å follow each position.
Positions (direct):
Np: 0.5000 0.0000 0.5000  6 O 2.09
Np: 0.0000 0.5000 0.0000  6 O 2.09
Ni: 0.5000 0.0000 0.0000  6 O 2.09-2.10
Ni: 0.0000 0.5000 0.5000  6 O 2.09-2.10
Hg: 0.0002 0.0122 0.2439  3 O 2.26
Hg: 0.5001 0.5122 0.7439  3 O 2.26
Hg: 0.9998 0.9878 0.7561  3 O 2.26
Hg: 0.4999 0.4878 0.2561  3 O 2.26
O: 0.1995 0.8004 0.0485  1 Ni 2.09, 1 Np 2.09, 1 Hg 2.26
O: 0.7977 0.7978 0.5506  1 Np 2.09, 1 Ni 2.09, 1 Hg 2.26
O: 0.8005 0.1996 0.9515  1 Ni 2.09, 1 Np 2.09, 1 Hg 2.26
O: 0.2023 0.2022 0.4494  1 Np 2.09, 1 Ni 2.09, 1 Hg 2.26
O: 0.3005 0.6996 0.4515  1 Ni 2.09, 1 Np 2.09, 1 Hg 2.26
O: 0.7023 0.7022 0.9495  1 Np 2.09, 1 Ni 2.09, 1 Hg 2.26
O: 0.6995 0.3004 0.5485  1 Ni 2.09, 1 Np 2.09, 1 Hg 2.26
O: 0.2977 0.2978 0.0505  1 Np 2.09, 1 Ni 2.09, 1 Hg 2.26
O: 0.9011 0.4965 0.2499  1 Np 2.09, 1 Ni 2.10, 1 Hg 2.26
O: 0.4011 0.9965 0.7499  1 Np 2.09, 1 Ni 2.10, 1 Hg 2.26
O: 0.0989 0.5035 0.7501  1 Np 2.09, 1 Ni 2.10, 1 Hg 2.26
O: 0.5989 0.0035 0.2501  1 Np 2.09, 1 Ni 2.10, 1 Hg 2.26